The following is a PBE with a Hubbard U calculation of an optimized crystal structure of SrFe2F6, from Alexandria via LeMat-Bulk.

Summary:
SG = C2/m (12)
final energy = -5.614 eV per atom

a b c (Å): 5.7319 5.7319 7.5863
angles (deg): 116.77 116.77 41.01
Sites, in units of the cell vectors:
Sr 0.0000 0.0000 0.0000
Fe 0.1688 0.1688 0.5934
Fe 0.8312 0.8312 0.4066
F 0.0174 0.0174 0.6900
F 0.2967 0.2967 0.4243
F 0.3471 0.3471 0.8753
F 0.6529 0.6529 0.1247
F 0.7033 0.7033 0.5757
F 0.9826 0.9826 0.3100